No. 1
KAlCd2 | GGA-PBE | relaxed

The structure belongs to space group Cm (No. 8); the cell edges are 9.439, 3.238 and 7.655 Å and the angles 90.00°, 96.69° and 90.00°. The distinct sites, in fractional coordinates, are K at (0.000, 0.000, 0.000), Al at (0.244, 0.000, 0.667), Cd at (0.008, 0.500, 0.550) and Cd at (0.264, 0.500, 0.333).

For the total magnetization, the calculation gives 0.00 μB/f.u. As for the formation energy from the elements: 12.9 kJ per mole of atoms. The value obtained for the total energy is -1.53 eV/atom. The density of states at the Fermi level is 0.43 states/eV per atom.



No. 2
KAl2Cd | GGA-PBE | relaxed

The structure belongs to space group Pmmm (No. 47); the cell edges are 3.032, 4.353 and 7.892 Å and the angles 90.00°, 90.00° and 90.00°. The distinct sites, in fractional coordinates, are K at (0.000, 0.000, 0.000), Al at (0.500, 0.500, 0.323) and Cd at (0.000, 0.000, 0.500).

For the total magnetization, the calculation gives 0.00 μB/f.u. As for the formation energy from the elements: 19.5 kJ per mole of atoms. The value obtained for the total energy is -2.17 eV/atom. The density of states at the Fermi level is 0.33 states/eV per atom.



No. 3
KAlCd2 | GGA-PBE | relaxed

The structure belongs to space group I-4m2 (No. 119); the cell edges are 5.223, 5.223 and 7.599 Å and the angles 90.00°, 90.00° and 90.00°. The distinct sites, in fractional coordinates, are K at (0.000, 0.000, 0.000), Al at (0.000, 0.500, 0.750), Cd at (0.000, 0.000, 0.500) and Cd at (0.000, 0.500, 0.250).

For the total magnetization, the calculation gives 0.00 μB/f.u. As for the formation energy from the elements: 20.6 kJ per mole of atoms. The value obtained for the total energy is -1.45 eV/atom. The density of states at the Fermi level is 0.50 states/eV per atom.



No. 4
KAlCd2 | GGA-PBE | relaxed

The structure belongs to space group Imm2 (No. 44); the cell edges are 3.212, 5.902 and 11.521 Å and the angles 90.00°, 90.00° and 90.00°. The distinct sites, in fractional coordinates, are K at (0.000, 0.000, 0.000), Al at (0.000, 0.500, 0.773), Cd at (0.000, 0.000, 0.479) and Cd at (0.000, 0.500, 0.211).

For the total magnetization, the calculation gives 0.00 μB/f.u. As for the formation energy from the elements: 19.0 kJ per mole of atoms. The value obtained for the total energy is -1.47 eV/atom. The density of states at the Fermi level is 0.42 states/eV per atom.



No. 5
KAl2Cd2 | GGA-PBE | relaxed

The structure belongs to space group P4/mbm (No. 127); the cell edges are 8.968, 8.968 and 2.987 Å and the angles 90.00°, 90.00° and 90.00°. The distinct sites, in fractional coordinates, are K at (0.000, 0.000, 0.000), Al at (0.148, 0.352, 0.500) and Cd at (0.144, 0.644, 0.000).

For the total magnetization, the calculation gives 0.00 μB/f.u. As for the formation energy from the elements: 11.2 kJ per mole of atoms. The value obtained for the total energy is -1.97 eV/atom. The density of states at the Fermi level is 0.45 states/eV per atom. The value obtained for the energy relative to the lowest polymorph listed for this composition is 40 meV/atom.



No. 6
KAl2Cd | GGA-PBE | relaxed

The structure belongs to space group Cm (No. 8); the cell edges are 8.766, 3.045 and 7.963 Å and the angles 90.00°, 94.97° and 90.00°. The distinct sites, in fractional coordinates, are K at (0.000, 0.000, 0.000), Al at (0.259, 0.500, 0.321), Al at (0.494, 0.000, 0.463) and Cd at (0.238, 0.000, 0.672).

For the total magnetization, the calculation gives 0.00 μB/f.u. As for the formation energy from the elements: 15.3 kJ per mole of atoms. The value obtained for the total energy is -2.22 eV/atom. The density of states at the Fermi level is 0.35 states/eV per atom.



No. 7
KAl2Cd | GGA-PBE | relaxed

The structure belongs to space group C2/m (No. 12); the cell edges are 9.094, 3.112 and 7.661 Å and the angles 90.00°, 95.62° and 90.00°. The distinct sites, in fractional coordinates, are K at (0.000, 0.000, 0.000), Al at (0.241, 0.000, 0.666) and Cd at (0.000, 0.500, 0.500).

For the total magnetization, the calculation gives 0.00 μB/f.u. As for the formation energy from the elements: 19.0 kJ per mole of atoms. The value obtained for the total energy is -2.18 eV/atom. The density of states at the Fermi level is 0.34 states/eV per atom.



No. 8
K4AlCd | GGA-PBE | relaxed

The structure belongs to space group F-43m (No. 216); the cell edges are 10.361, 10.361 and 10.361 Å and the angles 90.00°, 90.00° and 90.00°. The distinct sites, in fractional coordinates, are K at (0.125, 0.125, 0.125), Al at (0.250, 0.250, 0.750) and Cd at (0.000, 0.000, 0.500).

For the total magnetization, the calculation gives 0.31 μB/f.u. As for the formation energy from the elements: 43.4 kJ per mole of atoms. The value obtained for the total energy is -1.06 eV/atom. The density of states at the Fermi level is 0.99 states/eV per atom.



No. 9
KAlCd2 | GGA-PBE | relaxed

The structure belongs to space group I4_1/amd (No. 141, origin choice 2); the cell edges are 5.850, 5.850 and 17.798 Å and the angles 90.00°, 90.00° and 90.00°. The distinct sites, in fractional coordinates, are K at (0.000, 0.250, 0.375), Al at (0.000, 0.250, 0.875) and Cd at (0.000, 0.000, 0.000).

For the total magnetization, the calculation gives 0.00 μB/f.u. As for the formation energy from the elements: 16.7 kJ per mole of atoms. The value obtained for the total energy is -1.49 eV/atom. The density of states at the Fermi level is 0.12 states/eV per atom.



No. 10
KAlCd3 | GGA-PBE | relaxed

The structure belongs to space group Pm-3m (No. 221); the cell edges are 5.396, 5.396 and 5.396 Å and the angles 90.00°, 90.00° and 90.00°. The distinct sites, in fractional coordinates, are K at (0.000, 0.000, 0.000), Al at (0.500, 0.500, 0.500) and Cd at (0.000, 0.500, 0.500).

For the total magnetization, the calculation gives 0.00 μB/f.u. As for the formation energy from the elements: 10.5 kJ per mole of atoms. The value obtained for the total energy is -1.41 eV/atom. The density of states at the Fermi level is 0.49 states/eV per atom. The value obtained for the energy relative to the lowest polymorph listed for this composition is 0 meV/atom.



No. 11
KAlCd | GGA-PBE | relaxed

The structure belongs to space group P-6m2 (No. 187); the cell edges are 5.2646, 5.2646 and 3.4985 Å and the angles 90.00°, 90.00° and 120.00°. The distinct sites, in fractional coordinates, are K at (0.0000, 0.0000, 0.0000), Al at (0.6667, 0.3333, 0.5000) and Cd at (0.3333, 0.6667, 0.5000).

For the total magnetization, the calculation gives 0.00 μB/f.u. As for the formation energy from the elements: 17.7 kJ per mole of atoms. The value obtained for the total energy is -1.73 eV/atom. The density of states at the Fermi level is 0.58 states/eV per atom. The value obtained for the energy relative to the lowest polymorph listed for this composition is 36 meV/atom.



No. 12
KAl2Cd | GGA-PBE | relaxed

The structure belongs to space group I-42d (No. 122); the cell edges are 5.159, 5.159 and 19.746 Å and the angles 90.00°, 90.00° and 90.00°. The distinct sites, in fractional coordinates, are K at (0.000, 0.000, 0.000), Al at (0.043, 0.250, 0.625) and Cd at (0.000, 0.000, 0.500).

For the total magnetization, the calculation gives 0.00 μB/f.u. As for the formation energy from the elements: 29.4 kJ per mole of atoms. The value obtained for the total energy is -2.07 eV/atom. The density of states at the Fermi level is 0.48 states/eV per atom.



Per-record calculated volume, Å³/cell: 232.3; 104.2; 207.3; 218.4; 240.3; 211.8; 215.8; 1112.3; 609.1; 157.1; 84.0; 525.5